1.
Entry from Alexandria via LeMat-Bulk: crystalline Ce2PrTcN4 at its relaxed geometry (PBE).

Results
The value obtained for the total magnetization is 0.0 μB per cell. The value obtained for the uncorrected formation energy is -1.0696 eV/atom. For the raw total energy, the calculation gives -137.743 eV/cell.

abc: 3.466 6.259 11.691
angles: 90.00 90.00 106.07
Positions (direct):
Ce (0.368, 0.736, 0.548)
Ce (0.632, 0.264, 0.048)
Ce (0.632, 0.264, 0.452)
Ce (0.368, 0.736, 0.952)
Pr (0.114, 0.229, 0.750)
Pr (0.886, 0.771, 0.250)
Tc (0.854, 0.709, 0.750)
Tc (0.146, 0.291, 0.250)
N (0.267, 0.533, 0.126)
N (0.733, 0.467, 0.626)
N (0.733, 0.467, 0.874)
N (0.267, 0.533, 0.374)
N (0.000, 0.000, 0.500)
N (0.000, 0.000, 0.000)
N (0.455, 0.910, 0.750)
N (0.545, 0.090, 0.250)


2.
Entry from Alexandria via LeMat-Bulk: crystalline CePr2TcN4 at its relaxed geometry (PBE).

Results
The value obtained for the total magnetization is 1.1 μB per cell. The value obtained for the uncorrected formation energy is -0.8799 eV/atom. For the raw total energy, the calculation gives -132.400 eV/cell.

abc: 3.515 6.253 12.251
angles: 90.00 90.00 106.32
Positions (direct):
Ce (0.122, 0.243, 0.750)
Ce (0.878, 0.757, 0.250)
Pr (0.368, 0.735, 0.543)
Pr (0.632, 0.265, 0.043)
Pr (0.632, 0.265, 0.457)
Pr (0.368, 0.735, 0.957)
Tc (0.853, 0.706, 0.750)
Tc (0.147, 0.294, 0.250)
N (0.274, 0.549, 0.140)
N (0.726, 0.451, 0.640)
N (0.726, 0.451, 0.860)
N (0.274, 0.549, 0.360)
N (0.000, 0.000, 0.500)
N (0.000, 0.000, 0.000)
N (0.432, 0.864, 0.750)
N (0.568, 0.136, 0.250)


Repeat the second record exactly.
Entry from Alexandria via LeMat-Bulk: crystalline CePr2TcN4 at its relaxed geometry (PBE).

Results
The value obtained for the total magnetization is 1.1 μB per cell. The value obtained for the uncorrected formation energy is -0.8799 eV/atom. For the raw total energy, the calculation gives -132.400 eV/cell.

abc: 3.515 6.253 12.251
angles: 90.00 90.00 106.32
Positions (direct):
Ce (0.122, 0.243, 0.750)
Ce (0.878, 0.757, 0.250)
Pr (0.368, 0.735, 0.543)
Pr (0.632, 0.265, 0.043)
Pr (0.632, 0.265, 0.457)
Pr (0.368, 0.735, 0.957)
Tc (0.853, 0.706, 0.750)
Tc (0.147, 0.294, 0.250)
N (0.274, 0.549, 0.140)
N (0.726, 0.451, 0.640)
N (0.726, 0.451, 0.860)
N (0.274, 0.549, 0.360)
N (0.000, 0.000, 0.500)
N (0.000, 0.000, 0.000)
N (0.432, 0.864, 0.750)
N (0.568, 0.136, 0.250)